DFT (meta-GGA SCAN) results for a PBEsol-optimized structure of Fe2NiAs.

abc: 2.823 2.823 5.731
angles: 90.00 90.00 90.00
Each line ends with the local moment (μB).
Fractional coordinates of all 4 atoms:
Fe 0.000 0.000 0.256  2.43
Fe 0.000 0.000 0.744  2.43
Ni 0.500 0.500 0.000  0.85
As 0.500 0.500 0.500  -0.08

Output
- Energy: -1.323 Ry/atom
- ΔE_f: 154 meV per atom